No. 1
A geometry-optimized PrHo6Mg structure, computed with PBE.

Cell lengths 9.3615, 9.3615, 9.8909 Å; angles 90.00, 90.00, 120.00 degrees
Space group R-3 (No. 148, hexagonal axes)
Inequivalent atoms, fractional coordinates:
Pr1 0.0000 0.0000 0.0000 (multiplicity 3)
Ho1 0.0213 0.2656 0.7200 (multiplicity 18)
Mg1 0.0000 0.0000 0.5000 (multiplicity 3)

Results
Its formation enthalpy at 0 K is 0.1343 eV per atom. The value obtained for the density of states at the Fermi level is 34.9 states/eV per cell. Its calculated total energy is -4.096 eV/atom. The volume comes out at 751 Å³/cell. The excess energy over the best structure of this formula in the dataset comes out at 0.096 eV/atom.

---

No. 2
A geometry-optimized Tl2AgI structure, computed with PBE.

Cell lengths 6.864, 6.864, 15.528 Å; angles 90.00, 90.00, 90.00 degrees
Space group I-42d (No. 122)
Inequivalent atoms, fractional coordinates:
Tl1 0.186 0.250 0.125 (multiplicity 8)
Ag1 0.000 0.000 0.000 (multiplicity 4)
I1 0.000 0.000 0.500 (multiplicity 4)

Results
Its formation energy (no corrections) is -0.08 eV/f.u. The value obtained for the density of states at the Fermi level is 3.3 states/eV per cell. Its calculated total energy is -2.303 eV/atom. The volume comes out at 732 Å³/cell. The excess energy over the best structure of this formula in the dataset comes out at 0.000 eV/atom.

---

No. 3
A geometry-optimized CaPmPrZn structure, computed with PBE.

Cell lengths 7.815, 7.815, 7.815 Å; angles 90.00, 90.00, 90.00 degrees
Space group F-43m (No. 216)
Inequivalent atoms, fractional coordinates:
Ca1 0.000 0.000 0.000 (multiplicity 4)
Pm1 0.250 0.250 0.250 (multiplicity 4)
Pr1 0.250 0.250 0.750 (multiplicity 4)
Zn1 0.000 0.000 0.500 (multiplicity 4)

Results
Its formation enthalpy at 0 K is 0.0323 eV per atom. The value obtained for the density of states at the Fermi level is 20.3 states/eV per cell. Its calculated total energy is -3.169 eV/atom. The volume comes out at 477 Å³/cell. The excess energy over the best structure of this formula in the dataset comes out at 0.155 eV/atom.

---

No. 4
A geometry-optimized SrZr2AlP structure, computed with PBE.

Cell lengths 4.960, 4.960, 5.448 Å; angles 90.00, 90.00, 90.00 degrees
Space group P4/mmm (No. 123)
Inequivalent atoms, fractional coordinates:
Sr1 0.000 0.000 0.000 (multiplicity 1)
Zr1 0.000 0.500 0.500 (multiplicity 2)
Al1 0.500 0.500 0.000 (multiplicity 1)
P1 0.000 0.000 0.500 (multiplicity 1)

Results
Its formation enthalpy at 0 K is -0.1564 eV per atom. The value obtained for the density of states at the Fermi level is 3.2 states/eV per cell. Its calculated total energy is -5.743 eV/atom. The volume comes out at 134 Å³/cell.

---

No. 5
A geometry-optimized Ac12SiAg6 structure, computed with PBE.

Cell lengths 13.8527, 13.8527, 13.6274 Å; angles 90.00, 90.00, 120.00 degrees
Space group R-3 (No. 148, hexagonal axes)
Inequivalent atoms, fractional coordinates:
Ac1 0.0218 0.8235 0.3910 (multiplicity 18)
Ac2 0.0362 0.8413 0.8728 (multiplicity 18)
Si1 0.0000 0.0000 0.0000 (multiplicity 3)
Ag1 0.0402 0.7674 0.6423 (multiplicity 18)

Results
Its formation energy (no corrections) is -0.72 eV/f.u. The value obtained for the density of states at the Fermi level is 75.0 states/eV per cell. Its calculated total energy is -3.819 eV/atom. The volume comes out at 2265 Å³/cell.

---

No. 6
A geometry-optimized LiBe2Re structure, computed with PBE.

Cell lengths 3.589, 3.589, 3.234 Å; angles 90.00, 90.00, 90.00 degrees
Space group P4/mmm (No. 123)
Inequivalent atoms, fractional coordinates:
Li1 0.000 0.000 0.000 (multiplicity 1)
Be1 0.000 0.500 0.500 (multiplicity 2)
Re1 0.500 0.500 0.000 (multiplicity 1)

Results
Its formation enthalpy at 0 K is 0.0356 eV per atom. The value obtained for the density of states at the Fermi level is 0.6 states/eV per cell. Its calculated total energy is -5.418 eV/atom. The volume comes out at 42 Å³/cell. The excess energy over the best structure of this formula in the dataset comes out at 0.056 eV/atom.

---

Which of these has the highest density of states at the Fermi level?
Ac12SiAg6

---

Which formula does entry 4 have?
SrZr2AlP

---

Look up the calculated total energy of the sixth one.
-5.418 eV/atom

---

calculated total energy of number 6 (LiBe2Re)?
-5.418 eV/atom